## 1
CoSF2: relaxed, GGA+U.

Computed properties:
As for the space-group type: Fm-3m, No. 225.

Lattice parameters (Å, degrees): 4.205 4.205 4.205 60.00 60.00 60.00
Fractional positions:
Co 0.000 0.000 0.000
S 0.500 0.500 0.500
F 0.250 0.250 0.250
F 0.750 0.750 0.750

***

## 2
CoSF2: relaxed, GGA+U.

Computed properties:
As for the space-group type: I-42d, No. 122.

Lattice parameters (Å, degrees): 5.834 5.834 5.834 117.46 117.46 94.46
Fractional positions:
Co 0.000 0.000 0.000
Co 0.750 0.250 0.500
S 0.250 0.750 0.500
S 0.500 0.500 0.000
F 0.375 0.020 0.145
F 0.770 0.625 0.645
F 0.875 0.230 0.855
F 0.980 0.125 0.355

***

What should be chosen as the most stable of them? Choose 2.

***

## 1
CoS3F: relaxed, GGA+U.

Computed properties:
As for the space-group type: Pm-3m, No. 221.

Lattice parameters (Å, degrees): 4.355 4.355 4.355 90.00 90.00 90.00
Fractional positions:
Co 0.000 0.000 0.000
S 0.000 0.000 0.500
S 0.000 0.500 0.000
S 0.500 0.000 0.000
F 0.500 0.500 0.500

***

## 2
CoS3F: relaxed, GGA+U.

Computed properties:
As for the space-group type: Pm-3m, No. 221.

Lattice parameters (Å, degrees): 4.372 4.372 4.372 90.00 90.00 90.00
Fractional positions:
Co 0.000 0.000 0.000
S 0.000 0.500 0.500
S 0.500 0.000 0.500
S 0.500 0.500 0.000
F 0.500 0.500 0.500

***

What should be chosen as the most stable of them? Choose 1.

***

## 1
Co2SF: relaxed, GGA+U.

Computed properties:
As for the space-group type: Fm-3m, No. 225.

Lattice parameters (Å, degrees): 4.125 4.125 4.125 60.00 60.00 60.00
Fractional positions:
Co 0.250 0.250 0.250
Co 0.750 0.750 0.750
S 0.000 0.000 0.000
F 0.500 0.500 0.500

***

## 2
Co2SF: relaxed, GGA+U.

Computed properties:
As for the space-group type: I-42d, No. 122.

Lattice parameters (Å, degrees): 5.511 5.511 5.511 117.04 117.04 95.22
Fractional positions:
Co 0.107 0.125 0.482
Co 0.375 0.893 0.018
Co 0.643 0.625 0.518
Co 0.875 0.357 0.982
S 0.250 0.750 0.500
S 0.500 0.500 0.000
F 0.000 0.000 0.000
F 0.750 0.250 0.500

***

What should be chosen as the most stable of them? Choose 2.

***

## 1
CoSbTe2F: relaxed, GGA+U.

Computed properties:
As for the space-group type: P4/mmm, No. 123.

Lattice parameters (Å, degrees): 5.372 5.372 4.362 90.00 90.00 90.00
Fractional positions:
Co 0.000 0.000 0.000
Sb 0.500 0.500 0.000
Te 0.000 0.500 0.500
Te 0.500 0.000 0.500
F 0.500 0.500 0.500

***

## 2
CoSbTe2F: relaxed, GGA+U.

Computed properties:
As for the space-group type: P4/mmm, No. 123.

Lattice parameters (Å, degrees): 4.989 4.989 4.974 90.00 90.00 90.00
Fractional positions:
Co 0.000 0.000 0.000
Sb 0.000 0.000 0.500
Te 0.000 0.500 0.000
Te 0.500 0.000 0.000
F 0.500 0.500 0.500

***

What should be chosen as the most stable of them? Choose 2.